Pr4AgHg7 | the Alexandria database | PBE | relaxed; crystal system = monoclinic; ΔH_f (0 K) = -0.30 eV/atom; mass density = 10.30 g/cm³; space group = C2/m
1.0
7.8197 -2.7005 0.0000
7.8197 2.7005 0.0000
-5.2520 0.0000 7.9266
Pr Ag Hg
4 1 7
Cartesian
-0.2429 0.0000 1.9488 Pr
-0.2702 0.0000 6.0078 Pr
10.6576 0.0000 1.9187 Pr
10.6304 0.0000 5.9778 Pr
5.1937 0.0000 3.9633 Ag
-2.6260 0.0000 3.9633 Hg
2.6409 0.0000 0.3293 Hg
2.2895 0.0000 3.9287 Hg
6.0392 0.0000 1.1085 Hg
4.3483 0.0000 6.8181 Hg
8.0979 0.0000 3.9979 Hg
7.7465 0.0000 7.5972 Hg